[1]
VASP calculation (PBE-GGA) on BaSrLiGe after structural relaxation.

DOS at the Fermi energy, states/eV per atom: 0.3592
Formation energy from the elements, eV/atom: -0.2930

a b c (Å): 5.6868 5.6868 5.6868
angles (deg): 60.00 60.00 60.00
Fractional positions:
Ba 0.7500 0.7500 0.7500
Ge 0.5000 0.5000 0.5000
Sr 0.2500 0.2500 0.2500
Li 0.0000 0.0000 0.0000

[2]
VASP calculation (PBE-GGA) on Zn2TeMoC after structural relaxation.

DOS at the Fermi energy, states/eV per atom: 0.5191
Formation energy from raw total energies, meV/atom: 1025

a b c (Å): 3.9364 5.8679 3.9364
angles (deg): 90.00 90.00 90.00
Fractional positions:
Zn 0.0000 0.0000 0.5000
Zn 0.5000 0.0000 0.0000
Te 0.0000 0.5000 0.0000
C 0.0000 0.0000 0.0000
Mo 0.5000 0.5000 0.5000

[3]
VASP calculation (PBE-GGA) on ZrNbN2 after structural relaxation.

DOS at the Fermi energy, states/eV per atom: 0.2669
Formation energy from raw total energies, meV/atom: -651

a b c (Å): 3.9657 3.9657 3.9657
angles (deg): 60.00 60.00 60.00
Fractional positions:
N 0.2500 0.2500 0.2500
N 0.7500 0.7500 0.7500
Nb 0.5000 0.5000 0.5000
Zr 0.0000 0.0000 0.0000

[4]
VASP calculation (PBE-GGA) on NbHgIO2 after structural relaxation.

DOS at the Fermi energy, states/eV per atom: 0.4816
Formation energy from raw total energies, meV/atom: -1022

a b c (Å): 4.1012 4.1012 6.0334
angles (deg): 90.00 90.00 90.00
Fractional positions:
O 0.5000 0.0000 0.0000
O 0.0000 0.5000 0.0000
Hg 0.5000 0.5000 0.5000
I 0.0000 0.0000 0.5000
Nb 0.0000 0.0000 0.0000

[5]
VASP calculation (PBE-GGA) on SrMg2Cu2 after structural relaxation.

DOS at the Fermi energy, states/eV per atom: 0.4587
Formation energy from the elements, eV/atom: 0.0639

a b c (Å): 8.1805 8.1805 3.0614
angles (deg): 90.00 90.00 90.00
Fractional positions:
Mg 0.1250 0.3750 0.0000
Mg 0.8750 0.6250 0.0000
Mg 0.6250 0.1250 0.0000
Mg 0.3750 0.8750 0.0000
Cu 0.8309 0.3309 0.5000
Cu 0.3309 0.1691 0.5000
Cu 0.1691 0.6691 0.5000
Cu 0.6691 0.8309 0.5000
Sr 0.5000 0.5000 0.0000
Sr 0.0000 0.0000 0.0000

[6]
VASP calculation (PBE-GGA) on MgIrW2 after structural relaxation.

DOS at the Fermi energy, states/eV per atom: 0.4014
Formation energy from the elements, eV/atom: 0.0117

a b c (Å): 5.3328 5.3328 4.3501
angles (deg): 65.93 65.93 34.05
Fractional positions:
W 0.4943 0.4943 0.5058
W 0.0057 0.0057 0.9942
Ir 0.7500 0.7500 0.7500
Mg 0.2500 0.2500 0.2500